# 1
{
  "formula": "RePbAu2",
  "functional": "PBE",
  "state": "relaxed",
  "delta_e_f_ev_per_atom": 0.59,
  "energy_ev_per_fu": -20.3,
  "space_group": "Imm2 (44)",
  "lattice_angstrom": [[-1.3583, 2.4642, 6.6146], [3.5189, -0.0695, 6.2676], [-1.1737, 1.5110, -6.9289]],
  "species": ["Au", "Au", "Pb", "Re"],
  "fractional_positions": [[0.9351, 0.9351, 0.0000], [0.2471, 0.7471, 0.5000], [0.5589, 0.5589, 0.0000], [0.7589, 0.2589, 0.5000]]
}

# 2
{
  "formula": "KRbInSn",
  "functional": "PBE",
  "state": "relaxed",
  "delta_e_f_ev_per_atom": -0.05,
  "energy_ev_per_fu": -9.0,
  "space_group": "F-43m (216)",
  "lattice_angstrom": [[-4.8522, 3.0439, -1.2447], [-5.2385, -2.6215, 0.2085], [-3.7863, 1.3523, 4.2653]],
  "species": ["K", "Sn", "Rb", "In"],
  "fractional_positions": [[0.5000, 0.5000, 0.5000], [0.7500, 0.7500, 0.7500], [0.2500, 0.2500, 0.2500], [0.0000, 0.0000, 0.0000]]
}

# 3
{
  "formula": "V3Cr3Tc",
  "functional": "PBE",
  "state": "relaxed",
  "delta_e_f_ev_per_atom": 0.21,
  "energy_ev_per_fu": -65.1,
  "space_group": "Cmmm (65)",
  "lattice_angstrom": [[5.7851, -0.0624, -0.0008], [-0.0492, 5.7852, -0.0008], [0.0008, 0.0008, 5.6706]],
  "species": ["V", "V", "V", "V", "V", "V", "Cr", "Cr", "Cr", "Cr", "Cr", "Cr", "Tc", "Tc"],
  "fractional_positions": [[0.2386, 0.2386, 0.5000], [0.2765, 0.7235, 0.5000], [0.7235, 0.2765, 0.5000], [0.2405, 0.7595, 0.0000], [0.7595, 0.2405, 0.0000], [0.7614, 0.7614, 0.5000], [0.0000, 0.0000, 0.7500], [0.5000, 0.0000, 0.2523], [0.0000, 0.5000, 0.2523], [0.5000, 0.0000, 0.7477], [0.0000, 0.5000, 0.7477], [0.0000, 0.0000, 0.2500], [0.2785, 0.2785, 0.0000], [0.7215, 0.7215, 0.0000]]
}

# 4
{
  "formula": "BaCdHg4Pb2",
  "functional": "PBE",
  "state": "relaxed",
  "delta_e_f_ev_per_atom": -0.17,
  "energy_ev_per_fu": -12.8,
  "space_group": "R-3m (166)",
  "lattice_angstrom": [[5.4157, 0.0000, 0.0000], [2.7079, 4.6902, 0.0000], [2.7079, 1.5634, 9.1774]],
  "species": ["Ba", "Cd", "Hg", "Hg", "Hg", "Hg", "Pb", "Pb"],
  "fractional_positions": [[0.0000, 0.0000, 0.0000], [0.5000, 0.5000, 0.5000], [0.3898, 0.3898, 0.8305], [0.8665, 0.8665, 0.4006], [0.1335, 0.1335, 0.5994], [0.6102, 0.6102, 0.1695], [0.7509, 0.7509, 0.7474], [0.2491, 0.2491, 0.2526]]
}

# 5
{
  "formula": "Pr8Er3Mg2",
  "functional": "PBE",
  "state": "relaxed",
  "delta_e_f_ev_per_atom": 0.07,
  "energy_ev_per_fu": -54.2,
  "space_group": "P-1 (2)",
  "lattice_angstrom": [[-1.9565, -6.8991, 1.9923], [7.3015, -9.6245, 1.3230], [0.4249, -0.5671, 6.3958]],
  "species": ["Pr", "Pr", "Pr", "Pr", "Pr", "Pr", "Pr", "Pr", "Er", "Er", "Er", "Mg", "Mg"],
  "fractional_positions": [[0.1658, 0.3067, 0.0613], [0.8342, 0.6933, 0.9387], [0.6455, 0.3226, 0.0995], [0.3545, 0.6774, 0.9005], [0.9525, 0.1808, 0.5477], [0.4794, 0.1466, 0.5414], [0.5206, 0.8534, 0.4586], [0.0475, 0.8192, 0.4523], [0.0000, 0.5000, 0.5000], [0.2399, 0.0014, 0.0117], [0.7601, 0.9986, 0.9883], [0.6013, 0.5594, 0.3317], [0.3987, 0.4406, 0.6683]]
}

# 6
{
  "formula": "MgAsAu",
  "functional": "PBE",
  "state": "relaxed",
  "delta_e_f_ev_per_atom": -0.10,
  "energy_ev_per_fu": -9.8,
  "space_group": "P3m1 (156)",
  "lattice_angstrom": [[3.2296, 0.0000, 0.0000], [-1.6148, 2.7969, 0.0000], [0.0000, 0.0000, 6.4464]],
  "species": ["As", "Au", "Mg"],
  "fractional_positions": [[0.0000, 0.0000, 0.9995], [0.6667, 0.3333, 0.3452], [0.3333, 0.6667, 0.6553]]
}

# 7
{
  "formula": "BeHgF5",
  "functional": "PBE",
  "state": "relaxed",
  "raw_formation_energy_ev_per_fu": -13.783,
  "energy_ev_per_fu": -27.2,
  "space_group": "C2/c (15)",
  "lattice_angstrom": [[-5.5208, 0.2303, 0.0112], [-0.3433, -1.7145, -5.2415], [2.9742, -5.7810, 5.0692]],
  "species": ["Be", "Be", "Hg", "Hg", "F", "F", "F", "F", "F", "F", "F", "F", "F", "F"],
  "fractional_positions": [[0.8901, 0.6100, 0.2501], [0.1099, 0.3900, 0.7499], [0.5000, 0.0000, 0.0000], [0.5000, 0.0000, 0.5000], [0.7606, 0.6968, 0.0816], [0.2039, 0.6521, 0.3286], [0.4211, 0.0785, 0.2499], [0.8033, 0.7397, 0.4185], [0.1967, 0.2603, 0.5815], [0.8478, 0.2963, 0.1716], [0.1522, 0.7037, 0.8284], [0.5789, 0.9215, 0.7501], [0.7961, 0.3479, 0.6714], [0.2394, 0.3032, 0.9184]]
}

# 8
{
  "formula": "SnRhW3",
  "functional": "PBE",
  "state": "relaxed",
  "delta_e_f_ev_per_atom": 1.82,
  "e_above_lowest_polymorph_mev_per_atom": 0,
  "energy_ev_per_fu": -41.1,
  "space_group": "Pm-3m (221)",
  "lattice_angstrom": [[-2.5036, -3.5293, 1.9264], [1.9554, 0.9141, 4.2161], [-3.5133, 3.0238, 0.9738]],
  "species": ["Rh", "Sn", "W", "W", "W"],
  "fractional_positions": [[0.0000, 0.0000, 0.0000], [0.5000, 0.5000, 0.5000], [0.0000, 0.5000, 0.0000], [0.0000, 0.0000, 0.5000], [0.5000, 0.0000, 0.0000]]
}

# 9
{
  "formula": "HoCu3Te3",
  "functional": "PBE",
  "state": "relaxed",
  "raw_formation_energy_ev_per_fu": -3.489,
  "energy_ev_per_fu": -29.8,
  "space_group": "R-3 (148)",
  "lattice_angstrom": [[-4.3763, -6.9225, -0.6634], [2.3435, -7.4765, 2.4745], [-3.2509, -4.2971, 6.2032]],
  "species": ["Ho", "Ho", "Cu", "Cu", "Cu", "Cu", "Cu", "Cu", "Te", "Te", "Te", "Te", "Te", "Te"],
  "fractional_positions": [[0.8380, 0.8380, 0.8380], [0.1620, 0.1620, 0.1620], [0.2525, 0.9768, 0.6502], [0.6502, 0.2525, 0.9768], [0.9768, 0.6502, 0.2525], [0.0232, 0.3498, 0.7475], [0.3498, 0.7475, 0.0232], [0.7475, 0.0232, 0.3498], [0.0996, 0.7291, 0.4269], [0.7291, 0.4269, 0.0996], [0.4269, 0.0996, 0.7291], [0.5731, 0.9004, 0.2709], [0.2709, 0.5731, 0.9004], [0.9004, 0.2709, 0.5731]]
}

# 10
{
  "formula": "SrLi2Ca8",
  "functional": "PBE",
  "state": "relaxed",
  "delta_e_f_ev_per_atom": 0.03,
  "e_above_lowest_polymorph_mev_per_atom": 0,
  "energy_ev_per_fu": -21.1,
  "space_group": "C2/m (12)",
  "lattice_angstrom": [[5.5541, 0.0000, -1.5966], [-0.9992, 8.2260, -3.4760], [-0.2386, -0.1485, 9.6287]],
  "species": ["Sr", "Li", "Li", "Ca", "Ca", "Ca", "Ca", "Ca", "Ca", "Ca", "Ca"],
  "fractional_positions": [[0.5000, 0.0000, 0.0000], [0.2254, 0.6514, 0.4507], [0.7746, 0.3486, 0.5493], [0.6052, 0.4802, 0.2103], [0.3115, 0.0596, 0.6230], [0.1567, 0.2318, 0.3135], [0.0539, 0.7347, 0.1078], [0.8433, 0.7682, 0.6865], [0.6885, 0.9404, 0.3770], [0.3948, 0.5198, 0.7897], [0.9461, 0.2653, 0.8922]]
}

# 11
{
  "formula": "AgHg2Os",
  "functional": "PBE",
  "state": "relaxed",
  "delta_e_f_ev_per_atom": 0.82,
  "e_above_lowest_polymorph_mev_per_atom": 242,
  "energy_ev_per_fu": -11.4,
  "space_group": "I-4m2 (119)",
  "lattice_angstrom": [[5.2815, 0.0150, 0.0000], [2.0683, 4.8598, 0.0000], [-3.6749, -2.4374, 2.9067]],
  "species": ["Os", "Hg", "Hg", "Ag"],
  "fractional_positions": [[0.5000, 0.5000, 0.0000], [0.0000, 0.0000, 0.0000], [0.2500, 0.7500, 0.5000], [0.7500, 0.2500, 0.5000]]
}

# 12
{
  "formula": "ZnCo2Cl2",
  "functional": "PBE",
  "state": "relaxed",
  "raw_formation_energy_ev_per_fu": 0.797,
  "energy_ev_per_fu": -18.4,
  "space_group": "I4/mmm (139)",
  "lattice_angstrom": [[0.2137, 7.4344, 5.7936], [-4.3345, 7.6314, 3.4430], [1.0345, -8.9574, -2.7526]],
  "species": ["Zn", "Co", "Co", "Cl", "Cl"],
  "fractional_positions": [[0.0000, 0.0000, 0.0000], [0.2500, 0.7500, 0.5000], [0.7500, 0.2500, 0.5000], [0.6695, 0.6695, 0.0000], [0.3305, 0.3305, 0.0000]]
}

In order of appearance, total magnetization = 0.88 0.00 0.00 0.00 0.00 0.00 0.33 0.00 0.00 0.00 0.92 4.00 Bohr magnetons per cell.